Entry 1:
Zr2HIrPt | PBE | relaxed

DOS at the Fermi energy: 0.648 states/eV/atom
magnetization: 0.000 μB per atom
final energy: -38.58 eV per cell
offset from the most stable computed form: 26 meV/atom

Cell lengths 4.342, 4.342, 3.952 Å; angles 90.00, 90.00, 90.00 degrees
Space group P4/mmm (No. 123)
Asymmetric unit:
Zr 0.000 0.500 0.000
H 0.000 0.000 0.000
Ir 0.500 0.500 0.500
Pt 0.000 0.000 0.500

Entry 2:
PuH5Ir | PBE | relaxed

DOS at the Fermi energy: 1.517 states/eV/atom
magnetization: 0.713 μB per atom
final energy: -84.35 eV per cell

Cell lengths 3.901, 4.768, 6.671 Å; angles 90.00, 90.00, 90.00 degrees
Space group Immm (No. 71)
Asymmetric unit:
Pu 0.000 0.000 0.000
H 0.000 0.260 0.329
H 0.000 0.500 0.000
Ir 0.000 0.000 0.500

Entry 3:
PuH6Ir | PBE | relaxed

DOS at the Fermi energy: 1.256 states/eV/atom
magnetization: 0.625 μB per atom
final energy: -137.35 eV per cell

Cell lengths 4.4854, 4.4854, 11.6203 Å; angles 90.00, 90.00, 120.00 degrees
Space group R-3m (No. 166, hexagonal axes)
Asymmetric unit:
Pu 0.0000 0.0000 0.0000
H 0.0261 0.5131 0.9126
Ir 0.0000 0.0000 0.5000

Entry 4:
Pu4HIr2 | PBE | relaxed

DOS at the Fermi energy: 3.895 states/eV/atom
magnetization: 3.141 μB per atom
final energy: -160.85 eV per cell

Cell lengths 4.376, 4.376, 15.056 Å; angles 90.00, 90.00, 90.00 degrees
Space group I4/mmm (No. 139)
Asymmetric unit:
Pu 0.000 0.000 0.185
Pu 0.000 0.500 0.000
H 0.000 0.000 0.000
Ir 0.000 0.000 0.365

Entry 5:
PuH3Ir | PBE | relaxed

DOS at the Fermi energy: 2.162 states/eV/atom
magnetization: 1.043 μB per atom
final energy: -34.82 eV per cell

Cell lengths 3.714, 3.714, 3.714 Å; angles 90.00, 90.00, 90.00 degrees
Space group Pm-3m (No. 221)
Asymmetric unit:
Pu 0.000 0.000 0.000
H 0.000 0.500 0.500
Ir 0.500 0.500 0.500

Entry 6:
PuH4Ir | PBE | relaxed

DOS at the Fermi energy: 1.880 states/eV/atom
magnetization: 0.945 μB per atom
final energy: -153.54 eV per cell
offset from the most stable computed form: 15 meV/atom

Cell lengths 3.863, 12.086, 4.957 Å; angles 90.00, 90.00, 90.00 degrees
Space group Cmcm (No. 63)
Asymmetric unit:
Pu 0.000 0.130 0.250
H 0.000 0.099 0.750
H 0.000 0.302 0.505
H 0.000 0.500 0.000
Ir 0.000 0.396 0.250

Entry 7:
PuHIr | PBE | relaxed

DOS at the Fermi energy: 2.532 states/eV/atom
magnetization: 0.175 μB per atom
final energy: -107.36 eV per cell
offset from the most stable computed form: 17 meV/atom

Cell lengths 4.366, 5.418, 7.795 Å; angles 90.00, 90.00, 90.00 degrees
Space group Pmmn (No. 59, origin choice 2)
Asymmetric unit:
Pu 0.250 0.250 0.052
Pu 0.250 0.750 0.360
H 0.250 0.250 0.346
H 0.250 0.750 0.071
Ir 0.250 0.515 0.712

Entry 8:
PuH2Ir | PBE | relaxed

DOS at the Fermi energy: 1.294 states/eV/atom
magnetization: 1.183 μB per atom
final energy: -89.01 eV per cell

Cell lengths 2.9550, 2.9550, 18.0993 Å; angles 90.00, 90.00, 120.00 degrees
Space group R-3m (No. 166, hexagonal axes)
Asymmetric unit:
Pu 0.0000 0.0000 0.0000
H 0.0000 0.0000 0.4084
Ir 0.0000 0.0000 0.5000

Entry 9:
Pu6HIr3 | PBE | relaxed

DOS at the Fermi energy: 3.982 states/eV/atom
magnetization: 1.106 μB per atom
final energy: -237.39 eV per cell

Cell lengths 5.777, 7.519, 10.927 Å; angles 90.00, 118.53, 90.00 degrees
Space group P2_1/c (No. 14)
Asymmetric unit:
Pu 0.092 0.144 0.454
Pu 0.326 0.699 0.432
Pu 0.401 0.065 0.263
H 0.500 0.000 0.500
Ir 0.000 0.000 0.000
Ir 0.124 0.107 0.768

Entry 10:
PuH4Ir | PBE | relaxed

DOS at the Fermi energy: 1.706 states/eV/atom
magnetization: 0.833 μB per atom
final energy: -153.89 eV per cell
offset from the most stable computed form: 0 meV/atom

Cell lengths 7.824, 4.427, 7.146 Å; angles 90.00, 107.63, 90.00 degrees
Space group C2/c (No. 15)
Asymmetric unit:
Pu 0.000 0.214 0.250
H 0.026 0.298 0.914
H 0.207 0.068 0.609
Ir 0.250 0.250 0.000

Entry 11:
PuHIr | PBE | relaxed

DOS at the Fermi energy: 1.831 states/eV/atom
magnetization: 1.518 μB per atom
final energy: -26.89 eV per cell
offset from the most stable computed form: 0 meV/atom

Cell lengths 3.8462, 3.8462, 3.5771 Å; angles 90.00, 90.00, 120.00 degrees
Space group P-6m2 (No. 187)
Asymmetric unit:
Pu 0.0000 0.0000 0.0000
H 0.3333 0.6667 0.5000
Ir 0.6667 0.3333 0.5000

Entry 12:
Pu2H2Ir | PBE | relaxed

DOS at the Fermi energy: 2.455 states/eV/atom
magnetization: 2.118 μB per atom
final energy: -45.79 eV per cell

Cell lengths 3.8758, 3.8758, 6.4190 Å; angles 90.00, 90.00, 120.00 degrees
Space group P-3m1 (No. 164)
Asymmetric unit:
Pu 0.3333 0.6667 0.2610
H 0.3333 0.6667 0.6206
Ir 0.0000 0.0000 0.0000